# Hg3PdPb

Hg3PdPb after structural relaxation (PBE, the Alexandria database).

Geometry as extended XYZ:
```
5
Lattice="5.230 0.000 0.000 0.000 5.230 0.000 0.000 0.000 5.230" Properties=species:S:1:pos:R:3 pbc="T T T"
Pb 2.615 2.615 2.615
Pd 0.000 0.000 0.000
Hg 2.615 0.000 0.000
Hg 0.000 2.615 0.000
Hg 0.000 0.000 2.615
```

Calculated values
The value obtained for the total magnetization is 0.00 μB/f.u. The energy above the most stable polymorph in this dataset is 0.0 meV per atom. The energy of formation from the pure elements is 0.132 eV per atom. Its density of states at the Fermi level is 0.64 states/eV/atom. The uncorrected energy is -9.146 eV for the cell shown.